Entry from Alexandria via LeMat-Bulk: a relaxed structure of Ti5NiIr4 (PBE-GGA).

Results
**Calculated density**: 11.93 g/cm3
**E_form**: -750.7 meV/atom
**Size of the total moment**: 0.00 Bohr magnetons per cell

a = 2.9321 Å, b = 2.9321 Å, c = 17.2699 Å
α = 90.00°, β = 90.00°, γ = 90.00°
Space group P4/mmm (No. 123)
One atom of each set of equivalent atoms:
Ti 0.0000 0.0000 0.0000 (multiplicity 1)
Ti 0.0000 0.0000 0.2045 (multiplicity 2)
Ti 0.0000 0.0000 0.4067 (multiplicity 2)
Ni 0.5000 0.5000 0.5000 (multiplicity 1)
Ir 0.5000 0.5000 0.1028 (multiplicity 2)
Ir 0.5000 0.5000 0.3071 (multiplicity 2)



Entry from Alexandria via LeMat-Bulk: a relaxed structure of BaIr2Os (PBE-GGA).

Results
**Calculated density**: 15.22 g/cm3
**E_form**: 845.9 meV/atom
**ΔE to the lowest computed polymorph**: 0.7266 eV/atom
**Size of the total moment**: 0.00 Bohr magnetons per cell

a = 2.8896 Å, b = 5.1304 Å, c = 10.4820 Å
α = 90.00°, β = 90.00°, γ = 90.00°
Space group Imm2 (No. 44)
One atom of each set of equivalent atoms:
Ba 0.0000 0.0000 0.0000 (multiplicity 2)
Ir 0.0000 0.0000 0.5059 (multiplicity 2)
Ir 0.0000 0.5000 0.7806 (multiplicity 2)
Os 0.0000 0.5000 0.2153 (multiplicity 2)



Entry from Alexandria via LeMat-Bulk: a relaxed structure of ZrZnRu (PBE-GGA).

Results
**Calculated density**: 8.48 g/cm3
**E_form**: -369.3 meV/atom
**Size of the total moment**: 0.00 Bohr magnetons per cell

a = 3.3794 Å, b = 3.3794 Å, c = 8.8329 Å
α = 90.00°, β = 90.00°, γ = 90.00°
Space group I4mm (No. 107)
One atom of each set of equivalent atoms:
Zr 0.0000 0.0000 0.0000 (multiplicity 2)
Zn 0.0000 0.0000 0.3182 (multiplicity 2)
Ru 0.0000 0.0000 0.6594 (multiplicity 2)